Entry 1:
Na6Cd2In | PBE-GGA | optimized geometry

Summary:
Its calculated formation energy is -0.05 eV/atom. The energy relative to the lowest polymorph listed for this composition comes out at 0.0 meV per atom.

Cell and atoms, written as CIF:
```
data_Na6Cd2In
_chemical_formula_sum 'Na18 Cd6 In3'
_cell_length_a 5.5044
_cell_length_b 5.5044
_cell_length_c 31.6193
_cell_angle_alpha 90.00
_cell_angle_beta 90.00
_cell_angle_gamma 120.00
_symmetry_space_group_name_H-M 'R -3 m'
_symmetry_Int_Tables_number 166
_symmetry_space_group_name_Hall '-R 3 2"'
loop_
_atom_site_label
_atom_site_fract_x
_atom_site_fract_y
_atom_site_fract_z
_atom_site_occupancy
Na1 0.0000 0.0000 0.0846 1
Na2 0.0000 0.0000 0.1981 1
Na3 0.0000 0.0000 0.3081 1
Cd1 0.0000 0.0000 0.4086 1
In1 0.0000 0.0000 0.5000 1
```

***

Entry 2:
Tb12Tm7Pu | PBE-GGA | optimized geometry

Summary:
Its calculated formation energy is 0.27 eV/atom. The energy relative to the lowest polymorph listed for this composition comes out at 0.0 meV per atom.

Cell and atoms, written as CIF:
```
data_Tb12Tm7Pu
_chemical_formula_sum 'Tb36 Tm21 Pu3'
_cell_length_a 19.2683
_cell_length_b 19.2683
_cell_length_c 6.0352
_cell_angle_alpha 90.00
_cell_angle_beta 90.00
_cell_angle_gamma 120.00
_symmetry_space_group_name_H-M 'R -3 m'
_symmetry_Int_Tables_number 166
_symmetry_space_group_name_Hall '-R 3 2"'
loop_
_atom_site_label
_atom_site_fract_x
_atom_site_fract_y
_atom_site_fract_z
_atom_site_occupancy
Tb1 0.0000 0.4145 0.0000 1
Tb2 0.0978 0.5489 0.4749 1
Tm1 0.0000 0.0000 0.0000 1
Tm2 0.0803 0.1606 0.3034 1
Pu1 0.0000 0.0000 0.5000 1
```

***

Entry 3:
BaTaW3 | PBE-GGA | optimized geometry

Summary:
Its calculated formation energy is 1.98 eV/atom. The energy relative to the lowest polymorph listed for this composition comes out at 0.0 meV per atom.

Cell and atoms, written as CIF:
```
data_BaTaW3
_chemical_formula_sum 'Ba1 Ta1 W3'
_cell_length_a 4.9990
_cell_length_b 4.9990
_cell_length_c 4.9990
_cell_angle_alpha 90.00
_cell_angle_beta 90.00
_cell_angle_gamma 90.00
_symmetry_space_group_name_H-M 'P m -3 m'
_symmetry_Int_Tables_number 221
_symmetry_space_group_name_Hall '-P 4 2 3'
loop_
_atom_site_label
_atom_site_fract_x
_atom_site_fract_y
_atom_site_fract_z
_atom_site_occupancy
Ba1 0.0000 0.0000 0.0000 1
Ta1 0.5000 0.5000 0.5000 1
W1 0.0000 0.5000 0.5000 1
```